# 1
# Pr2GeS6

A geometry-optimized Pr2GeS6 structure (PBE, Alexandria via LeMat-Bulk).

Cell: 6.237 6.237 12.422 Å, 90.00 90.00 90.00°
Fractional coordinates of all 18 atoms:
Pr: 0.000 0.000 0.168
Pr: 0.000 0.000 0.832
Pr: 0.500 0.500 0.332
Pr: 0.500 0.500 0.668
Ge: 0.000 0.000 0.500
Ge: 0.500 0.500 0.000
S: 0.182 0.182 0.358
S: 0.182 0.182 0.642
S: 0.225 0.225 0.000
S: 0.275 0.725 0.500
S: 0.318 0.682 0.142
S: 0.318 0.682 0.858
S: 0.682 0.318 0.142
S: 0.682 0.318 0.858
S: 0.725 0.275 0.500
S: 0.775 0.775 0.000
S: 0.818 0.818 0.358
S: 0.818 0.818 0.642

Properties
Its size of the total moment is 0.000 μB/atom. Its total energy is -5.14 eV/atom. The density of states at the Fermi level is 16.1 states/eV/cell.

***

# 2
# NaScUSe4

A geometry-optimized NaScUSe4 structure (PBE, Alexandria via LeMat-Bulk).

Cell: 8.263 8.263 8.263 Å, 121.14 116.94 91.71°
Fractional coordinates of all 14 atoms:
Na: 0.392 0.142 0.250
Na: 0.608 0.858 0.750
Sc: 0.000 0.000 0.500
Sc: 0.000 0.500 0.000
U: 0.000 0.500 0.500
U: 0.500 0.500 0.000
Se: 0.207 0.744 0.463
Se: 0.219 0.256 0.963
Se: 0.238 0.259 0.521
Se: 0.238 0.717 0.979
Se: 0.762 0.283 0.021
Se: 0.762 0.741 0.479
Se: 0.781 0.744 0.037
Se: 0.793 0.256 0.537

Properties
Its size of the total moment is 0.286 μB/atom. Its total energy is -6.05 eV/atom. The density of states at the Fermi level is 9.2 states/eV/cell.

***

# 3
# CeSmBi

A geometry-optimized CeSmBi structure (PBE, Alexandria via LeMat-Bulk).

Cell: 5.998 5.998 5.998 Å, 139.06 139.06 59.28°
Fractional coordinates of all 3 atoms:
Ce: 0.000 0.000 0.000
Sm: 0.695 0.695 0.000
Bi: 0.343 0.343 0.000

Properties
Its size of the total moment is 0.414 μB/atom. Its total energy is -5.27 eV/atom. The density of states at the Fermi level is 8.2 states/eV/cell.